[1]
# AsCBr2

AsCBr2 after structural relaxation (GGA-PBEsol, Alexandria via LeMat-Bulk).

Values from the calculation:
symmetry	Fm-3m (225)
E_form (uncorrected)	1792	meV/atom

Lattice parameters (Å, degrees): 4.675 4.675 4.675 60.00 60.00 60.00
Last column: magnetic moment on the atom in μB.
Fractional coordinates of all 4 atoms:
As (0.500, 0.500, 0.500)  0.04
C (0.000, 0.000, 0.000)  0.46
Br (0.250, 0.250, 0.250)  0.02
Br (0.750, 0.750, 0.750)  0.02

=====

[2]
# ZrCr2Se

ZrCr2Se after structural relaxation (GGA-PBEsol, Alexandria via LeMat-Bulk).

Values from the calculation:
symmetry	P4/mmm (123)
E_form (uncorrected)	104	meV/atom

Lattice parameters (Å, degrees): 3.369 4.176 4.176 90.00 90.00 90.00
Last column: magnetic moment on the atom in μB.
Fractional coordinates of all 4 atoms:
Cr (0.000, 0.000, 0.500)  1.71
Cr (0.000, 0.500, 0.000)  1.71
Se (0.500, 0.500, 0.500)  -0.03
Zr (0.500, 0.000, 0.000)  -0.26

=====

[3]
# PRhBr2

PRhBr2 after structural relaxation (GGA-PBEsol, Alexandria via LeMat-Bulk).

Values from the calculation:
symmetry	P4mm (99)
E_form (uncorrected)	-109	meV/atom

Lattice parameters (Å, degrees): 3.387 3.387 7.491 90.00 90.00 90.00
Fractional coordinates of all 4 atoms:
Br (0.000, 0.000, 0.948)
Br (0.500, 0.500, 0.291)
P (0.000, 0.000, 0.649)
Rh (0.500, 0.500, 0.613)

=====

[4]
# CoTcPt2

CoTcPt2 after structural relaxation (GGA-PBEsol, Alexandria via LeMat-Bulk).

Values from the calculation:
symmetry	P4/mmm (123)
formation enthalpy at 0 K	-0.106	eV/atom

Lattice parameters (Å, degrees): 2.679 2.679 7.562 90.00 90.00 90.00
Last column: magnetic moment on the atom in μB.
Fractional coordinates of all 4 atoms:
Co (0.500, 0.500, 0.500)  1.74
Tc (0.500, 0.500, 0.000)  -0.15
Pt (0.000, 0.000, 0.742)  0.13
Pt (0.000, 0.000, 0.258)  0.13

=====

[5]
# TePPt

TePPt after structural relaxation (GGA-PBEsol, Alexandria via LeMat-Bulk).

Values from the calculation:
symmetry	P3m1 (156)
E_form (uncorrected)	-287	meV/atom

Lattice parameters (Å, degrees): 3.777 3.777 4.761 90.00 90.00 120.00
Fractional coordinates of all 3 atoms:
P (0.000, 0.000, 0.922)
Te (0.333, 0.667, 0.376)
Pt (0.667, 0.333, 0.702)

=====

[6]
# CaMn2Cu

CaMn2Cu after structural relaxation (GGA-PBEsol, Alexandria via LeMat-Bulk).

Values from the calculation:
symmetry	P4/mmm (123)
formation enthalpy at 0 K	0.590	eV/atom

Lattice parameters (Å, degrees): 3.133 3.133 7.169 90.00 90.00 90.00
Last column: magnetic moment on the atom in μB.
Fractional coordinates of all 4 atoms:
Ca (0.500, 0.500, 0.000)  -0.07
Cu (0.500, 0.500, 0.500)  0.16
Mn (0.000, 0.000, 0.682)  3.60
Mn (0.000, 0.000, 0.318)  3.60